Crystalline WN2O2 at its relaxed geometry, computed with GGA+U.

## Properties
ΔE to the lowest computed polymorph (meV/atom): 2442.3

Cell: 3.610 3.610 3.442 Å, 90.00 90.00 90.00°
Space group P4/mmm (No. 123)
One atom of each set of equivalent atoms:
1 W 0.000 0.000 0.000 (multiplicity 1)
2 N 0.000 0.500 0.500 (multiplicity 2)
3 O 0.500 0.500 0.000 (multiplicity 1)
4 O 0.500 0.500 0.500 (multiplicity 1)